NiBiRhO6, optimized geometry, DFT PBE with a Hubbard U; symmetry = P4_2nm; raw total energy = -5.59 eV per atom
1.0
4.7518 0.0000 0.0000
0.0000 4.7518 0.0000
0.0000 0.0000 9.6400
Ni Bi Rh O
2 2 2 12
direct
0.0000 0.0000 0.0000
0.5000 0.5000 0.5000
0.0000 0.0000 0.6692
0.5000 0.5000 0.1692
0.0000 0.0000 0.3355
0.5000 0.5000 0.8355
0.1795 0.1795 0.1717
0.1949 0.1949 0.4873
0.2068 0.2068 0.8420
0.2932 0.7068 0.3420
0.3051 0.6949 0.9873
0.3205 0.6795 0.6717
0.6795 0.3205 0.6717
0.6949 0.3051 0.9873
0.7068 0.2932 0.3420
0.7932 0.7932 0.8420
0.8051 0.8051 0.4873
0.8205 0.8205 0.1717